VASP calculation (PBE-GGA) on a geometry-optimized AlTlIn2 structure.

Structure (extended XYZ):
```
4
Lattice="-1.663 2.734 5.721 1.663 -2.734 5.721 1.663 2.734 -5.721" Properties=species:S:1:pos:R:3 pbc="T T T"
Al 0.000 0.000 0.000
Tl 0.000 0.000 5.721
In 1.663 0.000 2.512
In 0.000 2.734 3.209
```

Computed properties:
The calculated formation energy comes out at 0.14 eV/atom. As for the density of states at the Fermi level: 0.433 states/eV per atom. The total magnetization comes out at 0.00 μB/f.u. Its total energy is -2.7523 eV per atom. Its energy above the lowest structure with this stoichiometry is 51 meV per atom.